[1]
Entry from the Alexandria database: crystalline LaScIn2Au4 at its relaxed geometry (GGA-PBE).

```
data_LaScIn2Au4
_symmetry_space_group_name_H-M 'R -3 m'
_symmetry_Int_Tables_number 166
_symmetry_space_group_name_Hall '-R 3 2"'
_cell_length_a 4.8377
_cell_length_b 4.8377
_cell_length_c 25.8707
_cell_angle_alpha 90.00
_cell_angle_beta 90.00
_cell_angle_gamma 120.00
loop_
_atom_site_label
_atom_site_type_symbol
_atom_site_fract_x
_atom_site_fract_y
_atom_site_fract_z
La1 La 0.0000 0.0000 0.0000
Sc1 Sc 0.0000 0.0000 0.5000
In1 In 0.0000 0.0000 0.2467
Au1 Au 0.0000 0.0000 0.1344
Au2 Au 0.0000 0.0000 0.3901
```

Calculated values
Raw total energy in eV/atom: -4.391
M_tot in μB/cell: 0.0
Formation energy in eV/atom: -0.660

[2]
Entry from the Alexandria database: crystalline ScMnSbAu2 at its relaxed geometry (GGA-PBE).

```
data_ScMnSbAu2
_symmetry_space_group_name_H-M 'P 4/m m m'
_symmetry_Int_Tables_number 123
_symmetry_space_group_name_Hall '-P 4 2'
_cell_length_a 4.8992
_cell_length_b 4.8992
_cell_length_c 4.7072
_cell_angle_alpha 90.00
_cell_angle_beta 90.00
_cell_angle_gamma 90.00
loop_
_atom_site_label
_atom_site_type_symbol
_atom_site_fract_x
_atom_site_fract_y
_atom_site_fract_z
Sc1 Sc 0.0000 0.0000 0.0000
Mn1 Mn 0.0000 0.0000 0.5000
Sb1 Sb 0.5000 0.5000 0.0000
Au1 Au 0.0000 0.5000 0.5000
```

Calculated values
Raw formation energy in meV per atom: 335
Raw total energy in eV/atom: -4.901
M_tot in μB/cell: 3.0

[3]
Entry from the Alexandria database: crystalline DyTm6Al2 at its relaxed geometry (GGA-PBE).

```
data_DyTm6Al2
_symmetry_space_group_name_H-M 'C 1 2/m 1'
_symmetry_Int_Tables_number 12
_cell_length_a 12.3540
_cell_length_b 3.6073
_cell_length_c 11.6301
_cell_angle_alpha 90.00
_cell_angle_beta 108.55
_cell_angle_gamma 90.00
loop_
_symmetry_equiv_pos_as_xyz
'x,y,z'
'-x,-y,-z'
'-x,y,-z'
'x,-y,z'
'x+1/2,y+1/2,z'
'-x+1/2,-y+1/2,-z'
'-x+1/2,y+1/2,-z'
'x+1/2,-y+1/2,z'
loop_
_atom_site_label
_atom_site_type_symbol
_atom_site_fract_x
_atom_site_fract_y
_atom_site_fract_z
Dy1 Dy 0.0000 0.0000 0.0000
Tm1 Tm 0.0203 0.0000 0.3331
Tm2 Tm 0.1870 0.5000 0.8753
Tm3 Tm 0.1889 0.5000 0.5867
Al1 Al 0.1488 0.5000 0.2077
```

Calculated values
Raw total energy in eV/atom: -4.497
M_tot in μB/cell: 0.0
Formation energy in eV/atom: -0.173

[4]
Entry from the Alexandria database: crystalline SrCaSeN2 at its relaxed geometry (GGA-PBE).

```
data_SrCaSeN2
_symmetry_space_group_name_H-M 'P 4/m m m'
_symmetry_Int_Tables_number 123
_symmetry_space_group_name_Hall '-P 4 2'
_cell_length_a 4.7363
_cell_length_b 4.7363
_cell_length_c 6.0413
_cell_angle_alpha 90.00
_cell_angle_beta 90.00
_cell_angle_gamma 90.00
loop_
_atom_site_label
_atom_site_type_symbol
_atom_site_fract_x
_atom_site_fract_y
_atom_site_fract_z
Sr1 Sr 0.0000 0.0000 0.0000
Ca1 Ca 0.5000 0.5000 0.5000
Se1 Se 0.0000 0.0000 0.5000
N1 N 0.0000 0.5000 0.0000
```

Calculated values
Raw formation energy in meV per atom: 538
Raw total energy in eV/atom: -4.226
M_tot in μB/cell: 4.0

[5]
Entry from the Alexandria database: crystalline PtI3Br at its relaxed geometry (GGA-PBE).

```
data_PtI3Br
_symmetry_space_group_name_H-M 'P m -3 m'
_symmetry_Int_Tables_number 221
_symmetry_space_group_name_Hall '-P 4 2 3'
_cell_length_a 5.8260
_cell_length_b 5.8260
_cell_length_c 5.8260
_cell_angle_alpha 90.00
_cell_angle_beta 90.00
_cell_angle_gamma 90.00
loop_
_atom_site_label
_atom_site_type_symbol
_atom_site_fract_x
_atom_site_fract_y
_atom_site_fract_z
Pt1 Pt 0.0000 0.0000 0.0000
I1 I 0.0000 0.5000 0.5000
Br1 Br 0.5000 0.5000 0.5000
```

Calculated values
Raw formation energy in meV per atom: 1171
Raw total energy in eV/atom: -1.302
M_tot in μB/cell: 0.8

[6]
Entry from the Alexandria database: crystalline LaZrSe2 at its relaxed geometry (GGA-PBE).

```
data_LaZrSe2
_symmetry_space_group_name_H-M 'P 4 m m'
_symmetry_Int_Tables_number 99
_cell_length_a 4.0654
_cell_length_b 4.0654
_cell_length_c 5.9815
_cell_angle_alpha 90.00
_cell_angle_beta 90.00
_cell_angle_gamma 90.00
loop_
_symmetry_equiv_pos_as_xyz
'x,y,z'
'-y,x,z'
'-x,-y,z'
'y,-x,z'
'-x,y,z'
'y,x,z'
'x,-y,z'
'-y,-x,z'
loop_
_atom_site_label
_atom_site_type_symbol
_atom_site_fract_x
_atom_site_fract_y
_atom_site_fract_z
La1 La 0.0000 0.0000 0.0000
Zr1 Zr 0.5000 0.5000 0.5939
Se1 Se 0.0000 0.0000 0.5058
Se2 Se 0.5000 0.5000 0.0734
```

Calculated values
Raw formation energy in meV per atom: -1387
Raw total energy in eV/atom: -6.498
M_tot in μB/cell: 0.0

[7]
Entry from the Alexandria database: crystalline Tb12Pr7Sm at its relaxed geometry (GGA-PBE).

```
data_Tb12Pr7Sm
_symmetry_space_group_name_H-M 'R -3'
_symmetry_Int_Tables_number 148
_symmetry_space_group_name_Hall '-R 3'
_cell_length_a 12.1082
_cell_length_b 12.1082
_cell_length_c 16.3216
_cell_angle_alpha 90.00
_cell_angle_beta 90.00
_cell_angle_gamma 120.00
loop_
_atom_site_label
_atom_site_type_symbol
_atom_site_fract_x
_atom_site_fract_y
_atom_site_fract_z
Tb1 Tb 0.0243 0.5766 0.2227
Tb2 Tb 0.0515 0.4647 0.5824
Pr1 Pr 0.0000 0.0000 0.0000
Pr2 Pr 0.0553 0.8681 0.2889
Sm1 Sm 0.0000 0.0000 0.5000
```

Calculated values
Raw total energy in eV/atom: -4.461
M_tot in μB/cell: 0.0
Formation energy in eV/atom: 0.226

[8]
Entry from the Alexandria database: crystalline Ac4Te2AuSe at its relaxed geometry (GGA-PBE).

```
data_Ac4Te2AuSe
_symmetry_space_group_name_H-M 'P 1 2/m 1'
_symmetry_Int_Tables_number 10
_cell_length_a 8.0966
_cell_length_b 4.5121
_cell_length_c 8.2183
_cell_angle_alpha 90.00
_cell_angle_beta 108.65
_cell_angle_gamma 90.00
loop_
_symmetry_equiv_pos_as_xyz
'x,y,z'
'-x,-y,-z'
'-x,y,-z'
'x,-y,z'
loop_
_atom_site_label
_atom_site_type_symbol
_atom_site_fract_x
_atom_site_fract_y
_atom_site_fract_z
Ac1 Ac 0.2350 0.0000 0.2256
Ac2 Ac 0.2571 0.5000 0.7673
Te1 Te 0.0000 0.0000 0.5000
Te2 Te 0.5000 0.5000 0.5000
Au1 Au 0.0000 0.5000 0.0000
Se1 Se 0.5000 0.0000 0.0000
```

Calculated values
Raw formation energy in meV per atom: -1414
Raw total energy in eV/atom: -5.098
M_tot in μB/cell: 0.0

[9]
Entry from the Alexandria database: crystalline LiLaAg2 at its relaxed geometry (GGA-PBE).

```
data_LiLaAg2
_symmetry_space_group_name_H-M 'C 1 m 1'
_symmetry_Int_Tables_number 8
_cell_length_a 9.1514
_cell_length_b 4.2406
_cell_length_c 5.1756
_cell_angle_alpha 90.00
_cell_angle_beta 113.56
_cell_angle_gamma 90.00
loop_
_symmetry_equiv_pos_as_xyz
'x,y,z'
'x,-y,z'
'x+1/2,y+1/2,z'
'x+1/2,-y+1/2,z'
loop_
_atom_site_label
_atom_site_type_symbol
_atom_site_fract_x
_atom_site_fract_y
_atom_site_fract_z
Li1 Li 0.0000 0.0000 0.0000
La1 La 0.2282 0.0000 0.6401
Ag1 Ag 0.2134 0.5000 0.1163
Ag2 Ag 0.4551 0.0000 0.3120
```

Calculated values
Raw total energy in eV/atom: -3.267
M_tot in μB/cell: 0.0
Formation energy in eV/atom: -0.131

[10]
Entry from the Alexandria database: crystalline YTmGaCo at its relaxed geometry (GGA-PBE).

```
data_YTmGaCo
_symmetry_space_group_name_H-M 'F -4 3 m'
_symmetry_Int_Tables_number 216
_symmetry_space_group_name_Hall 'F -4 2 3'
_cell_length_a 6.9163
_cell_length_b 6.9163
_cell_length_c 6.9163
_cell_angle_alpha 90.00
_cell_angle_beta 90.00
_cell_angle_gamma 90.00
loop_
_atom_site_label
_atom_site_type_symbol
_atom_site_fract_x
_atom_site_fract_y
_atom_site_fract_z
Y1 Y 0.0000 0.0000 0.0000
Tm1 Tm 0.0000 0.0000 0.5000
Ga1 Ga 0.2500 0.2500 0.2500
Co1 Co 0.2500 0.2500 0.7500
```

Calculated values
Raw total energy in eV/atom: -5.610
M_tot in μB/cell: 4.0
Formation energy in eV/atom: -0.343

[11]
Entry from the Alexandria database: crystalline YZrBe2O at its relaxed geometry (GGA-PBE).

```
data_YZrBe2O
_symmetry_space_group_name_H-M 'P 4/m m m'
_symmetry_Int_Tables_number 123
_symmetry_space_group_name_Hall '-P 4 2'
_cell_length_a 4.6751
_cell_length_b 4.6751
_cell_length_c 5.2225
_cell_angle_alpha 90.00
_cell_angle_beta 90.00
_cell_angle_gamma 90.00
loop_
_atom_site_label
_atom_site_type_symbol
_atom_site_fract_x
_atom_site_fract_y
_atom_site_fract_z
Y1 Y 0.0000 0.0000 0.0000
Zr1 Zr 0.0000 0.0000 0.5000
Be1 Be 0.0000 0.5000 0.0000
O1 O 0.5000 0.5000 0.5000
```

Calculated values
Raw formation energy in meV per atom: 2043
Raw total energy in eV/atom: -3.442
M_tot in μB/cell: 0.0